Material: CsRb2CrI6
Method: DFT, PBE
State: relaxed

It has space group R-3 (No. 148, hexagonal axes), with a = 9.1651 Å, b = 9.1651 Å, c = 20.5539 Å, α = 90.00°, β = 90.00° and γ = 120.00°. The inequivalent atoms are Cs at (0.0000, 0.0000, 0.0000), Rb at (0.0000, 0.0000, 0.2752), Cr at (0.0000, 0.0000, 0.5000) and I at (0.0272, 0.7666, 0.5774).

As for the crystal system: trigonal. As for the uncorrected formation energy: -1.028 eV/atom. For the magnetic moment, the calculation gives 2.9 μB/f.u.

---

Material: Ba4Li3Hg2
Method: DFT, PBE
State: relaxed

It has space group C2/m (No. 12), with a = 18.797 Å, b = 4.599 Å, c = 8.302 Å, α = 90.00°, β = 107.39° and γ = 90.00°. The inequivalent atoms are Ba at (0.074, 0.000, 0.358), Ba at (0.237, 0.500, 0.208), Li at (0.000, 0.500, 0.000), Li at (0.093, 0.500, 0.744) and Hg at (0.102, 0.000, 0.950).

As for the crystal system: monoclinic. For the magnetic moment, the calculation gives 0.0 μB/f.u. The value obtained for the formation energy is -1.95 eV/f.u.

---

Material: Li2Zn3Ni
Method: DFT, PBE
State: relaxed

It has space group C2/c (No. 15), with a = 14.148 Å, b = 4.967 Å, c = 5.159 Å, α = 90.00°, β = 108.50° and γ = 90.00°. The inequivalent atoms are Li at (0.180, 0.016, 0.459), Zn at (0.000, 0.201, 0.750), Zn at (0.141, 0.496, 0.135) and Ni at (0.000, 0.282, 0.250).

As for the crystal system: monoclinic. For the magnetic moment, the calculation gives 0.0 μB/f.u. The value obtained for the formation energy is -0.86 eV/f.u.

---

Material: Cd3GaP
Method: DFT, PBE
State: relaxed

It has space group Pm-3m (No. 221), with a = 5.124 Å, b = 5.124 Å, c = 5.124 Å, α = 90.00°, β = 90.00° and γ = 90.00°. The inequivalent atoms are Cd at (0.000, 0.000, 0.500), Ga at (0.000, 0.000, 0.000) and P at (0.500, 0.500, 0.500).

As for the energy above the most stable polymorph in this dataset: 0.262 eV per atom. As for the crystal system: cubic. For the magnetic moment, the calculation gives 1.9 μB/f.u. The value obtained for the formation energy is 3.21 eV/f.u.

---

So what do the calculations give for VASP energy? Going down the list: -0.1176, -0.0653, -0.0875, -0.0586 hartree per atom.